(1)
Material: TbSm5DyIn2
Method: DFT, PBE
State: relaxed Values from VASP.

Output
Uncorrected energy ... -76.46 eV per cell
DFT formation energy ... 0.0082 eV/atom

Cell and atoms, written as Quantum ESPRESSO input:
```
&SYSTEM
  ibrav = 0, nat = 18, ntyp = 4
/
ATOMIC_SPECIES
Tb 158.93 Tb.upf
Sm 150.36 Sm.upf
Dy 162.50 Dy.upf
In 114.82 In.upf
ATOMIC_POSITIONS angstrom
Tb 0.0000 0.0000 3.7310
Tb 0.0000 0.0000 11.1930
Sm 0.0000 0.0000 0.0000
Sm 6.1524 1.7724 -1.8937
Sm 1.7724 2.6076 -1.8937
Sm 6.1524 1.7724 1.8937
Sm 1.7724 2.6076 1.8937
Sm 0.0000 0.0000 7.4620
Sm 2.6076 1.7724 5.5682
Sm -1.7724 2.6076 5.5682
Sm 2.6076 1.7724 9.3557
Sm -1.7724 2.6076 9.3557
Dy 4.3800 0.0000 3.7310
Dy 0.0000 4.3800 3.7310
In 3.4259 0.9541 0.0000
In 3.4259 -0.9541 7.4620
In 0.9541 5.3341 0.0000
In 0.9541 3.4259 7.4620
CELL_PARAMETERS angstrom
-4.3800 4.3800 7.4620
4.3800 -4.3800 7.4620
4.3800 4.3800 -7.4620
```


(2)
Material: Tb5Sm2DyIn
Method: DFT, PBE
State: relaxed Values from VASP.

Output
Uncorrected energy ... -80.07 eV per cell
DFT formation energy ... -0.0117 eV/atom

Cell and atoms, written as Quantum ESPRESSO input:
```
&SYSTEM
  ibrav = 0, nat = 18, ntyp = 4
/
ATOMIC_SPECIES
Tb 158.93 Tb.upf
Sm 150.36 Sm.upf
Dy 162.50 Dy.upf
In 114.82 In.upf
ATOMIC_POSITIONS angstrom
Tb 0.0000 0.0000 0.0000
Tb 0.0000 0.0000 5.2972
Tb 2.7001 7.7242 7.9458
Tb 2.7001 5.8369 0.5380
Tb 2.7001 5.8369 4.7592
Tb 2.7001 0.2643 7.9458
Tb 2.7001 -0.2643 2.6486
Tb 2.7001 -5.8369 5.8351
Tb 2.7001 -5.8369 10.0564
Tb 2.7001 -7.7242 2.6486
Sm 2.7001 2.3390 0.4558
Sm 2.7001 2.3390 4.8414
Sm 2.7001 -2.3390 5.7530
Sm 2.7001 -2.3390 10.1386
Dy 2.7001 4.1581 7.9458
Dy 2.7001 -4.1581 2.6486
In 2.7001 8.1455 2.6486
In 2.7001 -8.1455 7.9458
CELL_PARAMETERS angstrom
2.7001 -10.0634 0.0000
2.7001 10.0634 0.0000
0.0000 0.0000 10.5944
```


(3)
Material: Tb3Sm6Dy2In
Method: DFT, PBE
State: relaxed Values from VASP.

Output
Uncorrected energy ... -54.62 eV per cell
DFT formation energy ... -0.0395 eV/atom

Cell and atoms, written as Quantum ESPRESSO input:
```
&SYSTEM
  ibrav = 0, nat = 12, ntyp = 4
/
ATOMIC_SPECIES
Tb 158.93 Tb.upf
Sm 150.36 Sm.upf
Dy 162.50 Dy.upf
In 114.82 In.upf
ATOMIC_POSITIONS angstrom
Tb 0.0000 0.0000 0.0000
Tb 3.0818 1.7946 0.0000
Tb 3.0818 -1.7946 0.0000
Sm 1.0428 1.7519 2.9290
Sm 0.0150 0.0000 8.6537
Sm 1.0428 -1.7519 2.9290
Sm 3.0431 1.7519 8.6347
Sm 4.0709 0.0000 2.9100
Sm 3.0431 -1.7519 8.6347
Dy 2.0430 3.5731 5.7819
Dy 2.0430 -3.5731 5.7819
In 2.0430 0.0000 5.7819
CELL_PARAMETERS angstrom
3.0818 -5.3500 0.0000
3.0818 5.3500 0.0000
-2.0777 0.0000 11.5637
```


(4)
Material: Tb2Sm6Dy3In
Method: DFT, PBE
State: relaxed Values from VASP.

Output
Uncorrected energy ... -54.62 eV per cell
DFT formation energy ... -0.0420 eV/atom

Cell and atoms, written as Quantum ESPRESSO input:
```
&SYSTEM
  ibrav = 0, nat = 12, ntyp = 4
/
ATOMIC_SPECIES
Tb 158.93 Tb.upf
Sm 150.36 Sm.upf
Dy 162.50 Dy.upf
In 114.82 In.upf
ATOMIC_POSITIONS angstrom
Tb 3.0784 3.5690 0.0000
Tb 3.0784 -3.5690 0.0000
Sm 0.0053 1.7498 8.7033
Sm 1.0555 0.0000 2.8852
Sm 0.0053 -1.7498 8.7033
Sm 4.0799 1.7498 2.8691
Sm 3.0297 0.0000 8.6873
Sm 4.0799 -1.7498 2.8691
Dy -1.0358 0.0000 5.7862
Dy 2.0426 1.7900 5.7862
Dy 2.0426 -1.7900 5.7862
In 3.0784 0.0000 0.0000
CELL_PARAMETERS angstrom
3.0784 -5.3438 0.0000
3.0784 5.3438 0.0000
-2.0715 0.0000 11.5724
```


(5)
Material: TbSm5Dy2In
Method: DFT, PBE
State: relaxed Values from VASP.

Output
Uncorrected energy ... -80.39 eV per cell
DFT formation energy ... -0.0031 eV/atom

Cell and atoms, written as Quantum ESPRESSO input:
```
&SYSTEM
  ibrav = 0, nat = 18, ntyp = 4
/
ATOMIC_SPECIES
Tb 158.93 Tb.upf
Sm 150.36 Sm.upf
Dy 162.50 Dy.upf
In 114.82 In.upf
ATOMIC_POSITIONS angstrom
Tb 2.7281 5.9898 8.0375
Tb 2.7281 -5.9898 2.6792
Sm 2.7281 9.8174 8.0375
Sm 2.7281 4.2477 0.5332
Sm 2.7281 4.2477 4.8252
Sm 2.7281 2.3920 8.0375
Sm 2.7281 0.0000 0.0000
Sm 2.7281 0.0000 5.3583
Sm 2.7281 -2.3920 2.6792
Sm 2.7281 -4.2477 5.8915
Sm 2.7281 -4.2477 10.1835
Sm 2.7281 -9.8174 2.6792
Dy 2.7281 7.7595 0.4545
Dy 2.7281 7.7595 4.9038
Dy 2.7281 -7.7595 5.8128
Dy 2.7281 -7.7595 10.2622
In 2.7281 1.9272 2.6792
In 2.7281 -1.9272 8.0375
CELL_PARAMETERS angstrom
2.7281 -10.0900 0.0000
2.7281 10.0900 0.0000
0.0000 0.0000 10.7167
```


(6)
Material: SmDy3In4Te8
Method: DFT, PBE
State: relaxed Values from VASP.

Output
Formation energy from raw total energies ... -0.974 eV per atom
Uncorrected energy ... -70.20 eV per cell

Cell and atoms, written as Quantum ESPRESSO input:
```
&SYSTEM
  ibrav = 0, nat = 16, ntyp = 4
/
ATOMIC_SPECIES
Sm 150.36 Sm.upf
Dy 162.50 Dy.upf
In 114.82 In.upf
Te 127.60 Te.upf
ATOMIC_POSITIONS angstrom
Sm 0.0000 0.0000 0.0000
Dy -2.2139 -1.2782 8.1121
Dy -2.2139 1.2782 16.2241
Dy 0.0000 2.5564 8.1120
In -4.4278 0.0000 12.1681
In -2.2139 1.2782 4.0560
In 2.2139 1.2782 4.0560
In 0.0000 0.0000 12.1681
Te 0.0000 -2.5232 9.9039
Te -2.1852 1.2616 9.9039
Te 0.0000 0.0000 6.3423
Te -2.1852 -1.2616 14.4323
Te 2.1852 1.2616 9.9038
Te 0.0000 0.0000 17.9938
Te 2.1852 -1.2616 14.4323
Te 0.0000 2.5232 14.4323
CELL_PARAMETERS angstrom
4.4278 2.5564 8.1121
-4.4278 2.5564 8.1121
0.0000 -5.1128 8.1121
```


(7)
Material: Sm3DyIn3Te8
Method: DFT, PBE
State: relaxed Values from VASP.

Output
Formation energy from raw total energies ... -1.017 eV per atom
Uncorrected energy ... -67.37 eV per cell

Cell and atoms, written as Quantum ESPRESSO input:
```
&SYSTEM
  ibrav = 0, nat = 15, ntyp = 4
/
ATOMIC_SPECIES
Sm 150.36 Sm.upf
Dy 162.50 Dy.upf
In 114.82 In.upf
Te 127.60 Te.upf
ATOMIC_POSITIONS angstrom
Sm -2.2190 -1.2811 7.8953
Sm -2.2190 1.2811 15.7905
Sm 0.0000 2.5623 7.8952
Dy 0.0000 0.0000 0.0000
In -4.4380 0.0000 11.8429
In -2.2190 1.2811 3.9476
In 2.2190 1.2811 3.9476
Te 0.0000 -2.5924 9.6916
Te -2.2451 1.2962 9.6916
Te -2.2451 -1.2962 13.9942
Te 0.0000 0.0000 6.0632
Te 0.0000 0.0000 17.6226
Te 2.2451 1.2962 9.6916
Te 2.2451 -1.2962 13.9942
Te 0.0000 2.5924 13.9942
CELL_PARAMETERS angstrom
4.4380 2.5623 7.8953
-4.4380 2.5623 7.8953
0.0000 -5.1246 7.8953
```


(8)
Material: SmDyIn2Te4
Method: DFT, PBE
State: relaxed Values from VASP.

Output
Formation energy from raw total energies ... -0.978 eV per atom
Uncorrected energy ... -35.19 eV per cell

Cell and atoms, written as Quantum ESPRESSO input:
```
&SYSTEM
  ibrav = 0, nat = 8, ntyp = 4
/
ATOMIC_SPECIES
Sm 150.36 Sm.upf
Dy 162.50 Dy.upf
In 114.82 In.upf
Te 127.60 Te.upf
ATOMIC_POSITIONS angstrom
Sm 0.0000 0.0000 0.0000
Dy 3.8491 2.2230 0.0000
In -1.2826 2.2230 4.0545
In 2.5665 0.0000 4.0545
Te 1.3180 2.2230 1.8089
Te 0.0355 0.0000 6.3225
Te 5.0974 0.0000 1.7864
Te 3.8150 2.2230 6.3000
CELL_PARAMETERS angstrom
7.6982 0.0000 0.0000
0.0000 4.4460 0.0000
-2.5652 0.0000 8.1089
```


(9)
Material: Sm2DyIn3Te6
Method: DFT, PBE
State: relaxed Values from VASP.

Output
Formation energy from raw total energies ... -0.981 eV per atom
Uncorrected energy ... -52.88 eV per cell

Cell and atoms, written as Quantum ESPRESSO input:
```
&SYSTEM
  ibrav = 0, nat = 12, ntyp = 4
/
ATOMIC_SPECIES
Sm 150.36 Sm.upf
Dy 162.50 Dy.upf
In 114.82 In.upf
Te 127.60 Te.upf
ATOMIC_POSITIONS angstrom
Sm 3.8605 4.4608 0.0000
Sm 3.8605 -4.4608 0.0000
Dy 3.8605 0.0000 0.0000
In -1.2872 0.0000 4.0564
In 2.5733 2.2499 4.0564
In 2.5733 -2.2499 4.0564
Te 0.0184 2.1970 6.3139
Te 1.3250 0.0000 1.8119
Te 0.0184 -2.1970 6.3139
Te 5.1283 2.1970 1.7989
Te 3.8216 0.0000 6.3009
Te 5.1283 -2.1970 1.7989
CELL_PARAMETERS angstrom
3.8605 -6.6861 0.0000
3.8605 6.6861 0.0000
-2.5744 0.0000 8.1128
```


(10)
Material: SmDyThIn
Method: DFT, PBE
State: relaxed Values from VASP.

Output
Uncorrected energy ... -78.48 eV per cell
DFT formation energy ... -0.0349 eV/atom

Cell and atoms, written as Quantum ESPRESSO input:
```
&SYSTEM
  ibrav = 0, nat = 16, ntyp = 4
/
ATOMIC_SPECIES
Sm 150.36 Sm.upf
Dy 162.50 Dy.upf
Th 232.04 Th.upf
In 114.82 In.upf
ATOMIC_POSITIONS angstrom
Sm 0.0000 0.0000 0.0000
Sm 0.0000 3.8848 3.8848
Sm 3.8848 0.0000 3.8848
Sm 3.8848 3.8848 0.0000
Dy 0.0000 0.0000 3.8848
Dy 0.0000 3.8848 0.0000
Dy 3.8848 0.0000 0.0000
Dy 3.8848 3.8848 3.8848
Th 1.9424 1.9424 1.9424
Th 1.9424 5.8273 5.8273
Th 5.8273 1.9424 5.8273
Th 5.8273 5.8273 1.9424
In 1.9424 1.9424 5.8273
In 1.9424 5.8273 1.9424
In 5.8273 1.9424 1.9424
In 5.8273 5.8273 5.8273
CELL_PARAMETERS angstrom
7.7697 0.0000 0.0000
0.0000 7.7697 0.0000
0.0000 0.0000 7.7697
```


(11)
Material: Sm3Dy3TlIn2
Method: DFT, PBE
State: relaxed Values from VASP.

Output
Uncorrected energy ... -38.39 eV per cell
DFT formation energy ... -0.2873 eV/atom

Cell and atoms, written as Quantum ESPRESSO input:
```
&SYSTEM
  ibrav = 0, nat = 9, ntyp = 4
/
ATOMIC_SPECIES
Sm 150.36 Sm.upf
Dy 162.50 Dy.upf
Tl 204.38 Tl.upf
In 114.82 In.upf
ATOMIC_POSITIONS angstrom
Sm -1.3075 2.2647 0.0000
Sm 2.6150 0.0000 0.0000
Sm 3.2179 5.5735 0.0000
Dy -2.7928 4.8372 1.8788
Dy 1.7326 3.0010 1.8788
Dy 5.5856 0.0000 1.8788
Tl 0.0000 0.0000 1.8788
In 0.0000 5.2255 0.0000
In 4.5254 2.6127 0.0000
CELL_PARAMETERS angstrom
9.0508 0.0000 0.0000
-4.5254 7.8382 0.0000
0.0000 0.0000 3.7576
```


(12)
Material: SmDyTlIn
Method: DFT, PBE
State: relaxed Values from VASP.

Output
Uncorrected energy ... -64.40 eV per cell
DFT formation energy ... -0.4185 eV/atom

Cell and atoms, written as Quantum ESPRESSO input:
```
&SYSTEM
  ibrav = 0, nat = 16, ntyp = 4
/
ATOMIC_SPECIES
Sm 150.36 Sm.upf
Dy 162.50 Dy.upf
Tl 204.38 Tl.upf
In 114.82 In.upf
ATOMIC_POSITIONS angstrom
Sm 0.0000 0.0000 0.0000
Sm 0.0000 3.8135 3.8135
Sm 3.8135 0.0000 3.8135
Sm 3.8135 3.8135 0.0000
Dy 0.0000 0.0000 3.8135
Dy 0.0000 3.8135 0.0000
Dy 3.8135 0.0000 0.0000
Dy 3.8135 3.8135 3.8135
Tl 1.9067 1.9067 5.7202
Tl 1.9067 5.7202 1.9067
Tl 5.7202 1.9067 1.9067
Tl 5.7202 5.7202 5.7202
In 1.9067 1.9067 1.9067
In 1.9067 5.7202 5.7202
In 5.7202 1.9067 5.7202
In 5.7202 5.7202 1.9067
CELL_PARAMETERS angstrom
7.6269 0.0000 0.0000
0.0000 7.6269 0.0000
0.0000 0.0000 7.6269
```